[1]
DFT (PBE-GGA) results for a relaxed structure of Ta2NbIr.

a = 4.5830 Å, b = 4.5830 Å, c = 4.5830 Å
α = 60.00°, β = 60.00°, γ = 60.00°
Last column: nearest neighbours and their distance in Å.
Positions (direct):
Ir1 0.7500 0.7500 0.7500  4 Nb 2.81, 4 Ta 2.81
Nb1 0.0000 0.0000 0.0000  4 Ir 2.81, 4 Ta 2.81
Ta1 0.2500 0.2500 0.2500  4 Ta 2.81, 4 Nb 2.81
Ta2 0.5000 0.5000 0.5000  4 Ir 2.81, 4 Ta 2.81

Summary:
- energy of formation (eV/atom) = -0.289
- final energy (eV/atom) = -10.9522
- energy above the lowest structure with this stoichiometry (meV/atom) = 169.7

***

[2]
DFT (PBE-GGA) results for a relaxed structure of Ta2NbIr.

a = 2.8619 Å, b = 2.8619 Å, c = 8.5300 Å
α = 90.00°, β = 90.00°, γ = 90.00°
Last column: nearest neighbours and their distance in Å.
Positions (direct):
Ir1 0.0000 0.0000 0.0000  8 Ta 2.79, 4 Ir 2.86
Nb1 0.0000 0.0000 0.5000  4 Nb 2.86, 8 Ta 3.10
Ta1 0.5000 0.5000 0.2248  4 Ir 2.79, 4 Ta 2.86, 4 Nb 3.10
Ta2 0.5000 0.5000 0.7752  4 Ir 2.79, 4 Ta 2.86, 4 Nb 3.10

Summary:
- energy of formation (eV/atom) = -0.225
- final energy (eV/atom) = -10.8887
- energy above the lowest structure with this stoichiometry (meV/atom) = 233.2

***

[3]
DFT (PBE-GGA) results for a relaxed structure of Ta2NbIr.

a = 5.6811 Å, b = 4.8293 Å, c = 10.2596 Å
α = 90.00°, β = 90.00°, γ = 90.00°
Last column: nearest neighbours and their distance in Å.
Positions (direct):
Ir1 0.2703 0.2500 0.0774  3 Nb 2.60-2.88, 4 Ta 2.66-2.86
Ir2 0.7703 0.7500 0.4226  3 Nb 2.60-2.88, 4 Ta 2.66-2.86
Ir3 0.2297 0.2500 0.5774  3 Nb 2.60-2.88, 4 Ta 2.66-2.86
Ir4 0.7297 0.7500 0.9226  3 Nb 2.60-2.88, 4 Ta 2.66-2.86
Nb1 0.8127 0.2500 0.0676  3 Ir 2.60-2.88, 2 Ta 2.90
Nb2 0.3127 0.7500 0.4324  3 Ir 2.60-2.88, 2 Ta 2.90
Nb3 0.6873 0.2500 0.5677  3 Ir 2.60-2.88, 2 Ta 2.90
Nb4 0.1873 0.7500 0.9324  3 Ir 2.60-2.88, 2 Ta 2.90
Ta1 0.5006 0.7500 0.1550  3 Ir 2.72-2.86, 4 Ta 2.81-2.93, 2 Nb 2.90-3.04
Ta2 0.9900 0.7500 0.1933  1 Ir 2.66, 4 Ta 2.81-2.93, 3 Nb 2.90-2.92
Ta3 0.4900 0.2500 0.3067  1 Ir 2.66, 4 Ta 2.81-2.93, 3 Nb 2.90-2.92
Ta4 0.0006 0.2500 0.3450  3 Ir 2.72-2.86, 4 Ta 2.81-2.93, 2 Nb 2.90-3.04
Ta5 0.9994 0.7500 0.6550  3 Ir 2.72-2.86, 4 Ta 2.81-2.93, 2 Nb 2.90-3.04
Ta6 0.5100 0.7500 0.6933  1 Ir 2.66, 4 Ta 2.81-2.93, 3 Nb 2.90-2.92
Ta7 0.0100 0.2500 0.8067  1 Ir 2.66, 4 Ta 2.81-2.93, 3 Nb 2.90-2.92
Ta8 0.4994 0.2500 0.8450  3 Ir 2.72-2.86, 4 Ta 2.81-2.93, 2 Nb 2.90-3.04

Summary:
- energy of formation (eV/atom) = -0.151
- final energy (eV/atom) = -10.8148
- energy above the lowest structure with this stoichiometry (meV/atom) = 307.2

***

[4]
DFT (PBE-GGA) results for a relaxed structure of Ta2NbIr.

a = 5.1825 Å, b = 5.1825 Å, c = 5.1418 Å
α = 90.00°, β = 90.00°, γ = 90.00°
Last column: nearest neighbours and their distance in Å.
Positions (direct):
Ir1 0.5000 0.0000 0.0000  8 Ta 2.88-2.90, 4 Nb 2.89
Ir2 0.0000 0.5000 0.5000  8 Ta 2.88-2.90, 4 Nb 2.89
Nb1 0.5000 0.5000 0.2500  2 Nb 2.57
Nb2 0.5000 0.5000 0.7500  2 Nb 2.57
Ta1 0.0000 0.2493 0.0000  2 Ta 2.58-2.60, 2 Ir 2.88
Ta2 0.0000 0.7507 0.0000  2 Ta 2.58-2.60, 2 Ir 2.88
Ta3 0.2493 0.0000 0.5000  2 Ta 2.58-2.60, 2 Ir 2.88
Ta4 0.7507 0.0000 0.5000  2 Ta 2.58-2.60, 2 Ir 2.88

Summary:
- energy of formation (eV/atom) = -0.458
- final energy (eV/atom) = -11.1217
- energy above the lowest structure with this stoichiometry (meV/atom) = 0.3

***

[5]
DFT (PBE-GGA) results for a relaxed structure of Ta5NbIr2.

a = 5.1750 Å, b = 5.1750 Å, c = 5.1523 Å
α = 90.00°, β = 90.00°, γ = 90.00°
Last column: nearest neighbours and their distance in Å.
Positions (direct):
Ir1 0.5000 0.0000 0.2510  10 Ta 2.88-2.89, 2 Nb 2.89
Ir2 0.0000 0.5000 0.7490  10 Ta 2.88-2.89, 2 Nb 2.89
Nb1 0.0000 0.0000 0.0000  2 Ta 2.58
Ta1 0.2504 0.5000 0.2503  2 Ta 2.58-2.59, 4 Ir 2.88-2.89
Ta2 0.7496 0.5000 0.2503  2 Ta 2.58-2.59, 4 Ir 2.88-2.89
Ta3 0.0000 0.0000 0.5000  2 Nb 2.58
Ta4 0.5000 0.2504 0.7497  2 Ta 2.58-2.59, 4 Ir 2.88-2.89
Ta5 0.5000 0.7496 0.7497  2 Ta 2.58-2.59, 4 Ir 2.88-2.89

Summary:
- energy of formation (eV/atom) = -0.470
- final energy (eV/atom) = -11.3528

***

[6]
DFT (PBE-GGA) results for a relaxed structure of TaNb2Ir.

a = 4.5808 Å, b = 4.5808 Å, c = 4.5808 Å
α = 60.00°, β = 60.00°, γ = 60.00°
Last column: nearest neighbours and their distance in Å.
Positions (direct):
Ir1 0.5000 0.5000 0.5000  4 Ta 2.81, 4 Nb 2.81
Nb1 0.0000 0.0000 0.0000  4 Ta 2.81, 4 Nb 2.81
Nb2 0.2500 0.2500 0.2500  4 Nb 2.81, 4 Ir 2.81
Ta1 0.7500 0.7500 0.7500  4 Ir 2.81, 4 Nb 2.81

Summary:
- energy of formation (eV/atom) = -0.348
- final energy (eV/atom) = -10.5719
- energy above the lowest structure with this stoichiometry (meV/atom) = 87.0

***

[7]
DFT (PBE-GGA) results for a relaxed structure of Ta2NbIr.

a = 5.1809 Å, b = 5.1616 Å, c = 5.1616 Å
α = 90.01°, β = 90.00°, γ = 90.00°
Last column: nearest neighbours and their distance in Å.
Positions (direct):
Ir1 0.7500 0.9980 0.5019  8 Ta 2.87-2.90, 4 Nb 2.88-2.90
Ir2 0.2500 0.5019 0.9980  8 Ta 2.87-2.90, 4 Nb 2.88-2.90
Nb1 0.2500 0.9996 0.2504  2 Ta 2.58, 1 Ir 2.88
Nb2 0.7500 0.2504 0.9996  2 Ta 2.58, 1 Ir 2.88
Ta1 0.0000 0.5004 0.5004  2 Ta 2.59, 4 Ir 2.88-2.90
Ta2 0.5000 0.5004 0.5004  2 Ta 2.59, 4 Ir 2.88-2.90
Ta3 0.2500 0.9996 0.7497  2 Nb 2.58, 1 Ir 2.87
Ta4 0.7500 0.7497 0.9996  2 Nb 2.58, 1 Ir 2.87

Summary:
- energy of formation (eV/atom) = -0.459
- final energy (eV/atom) = -11.1220
- energy above the lowest structure with this stoichiometry (meV/atom) = 0.0

***

[8]
DFT (PBE-GGA) results for a relaxed structure of TaNb5Ir2.

a = 5.1672 Å, b = 5.1672 Å, c = 5.1923 Å
α = 90.00°, β = 90.00°, γ = 90.00°
Last column: nearest neighbours and their distance in Å.
Positions (direct):
Ir1 0.0000 0.5000 0.2487  2 Ta 2.89, 10 Nb 2.89-2.91
Ir2 0.5000 0.0000 0.7513  2 Ta 2.89, 10 Nb 2.89-2.91
Nb1 0.5000 0.2495 0.2496  2 Nb 2.58-2.59
Nb2 0.5000 0.7505 0.2496  2 Nb 2.58-2.59
Nb3 0.0000 0.0000 0.5000  2 Ta 2.60, 4 Ir 2.89
Nb4 0.2495 0.5000 0.7504  2 Nb 2.58-2.59
Nb5 0.7505 0.5000 0.7504  2 Nb 2.58-2.59
Ta1 0.0000 0.0000 0.0000  2 Nb 2.60, 4 Ir 2.89

Summary:
- energy of formation (eV/atom) = -0.423
- final energy (eV/atom) = -10.4266

***

[9]
DFT (PBE-GGA) results for a relaxed structure of Ta3Nb3Ir2.

a = 5.1497 Å, b = 5.1928 Å, c = 5.1715 Å
α = 90.00°, β = 90.00°, γ = 90.00°
Last column: nearest neighbours and their distance in Å.
Positions (direct):
Ir1 0.0000 0.0000 0.0010  6 Nb 2.88-2.90, 6 Ta 2.88-2.90
Ir2 0.5000 0.5000 0.4989  6 Ta 2.88-2.90, 6 Nb 2.89-2.90
Nb1 0.2504 0.0000 0.4997  2 Nb 2.57-2.58
Nb2 0.7496 0.0000 0.4997  2 Nb 2.57-2.58
Nb3 0.0000 0.5000 0.7508  2 Ta 2.58-2.59, 2 Ir 2.89
Ta1 0.5000 0.2504 0.0003  2 Ta 2.59-2.60, 4 Ir 2.88-2.90
Ta2 0.5000 0.7496 0.0003  2 Ta 2.59-2.60, 4 Ir 2.88-2.90
Ta3 0.0000 0.5000 0.2492  2 Nb 2.58-2.59, 2 Ir 2.88

Summary:
- energy of formation (eV/atom) = -0.447
- final energy (eV/atom) = -10.8905

***

[10]
DFT (PBE-GGA) results for a relaxed structure of TaNb2Ir.

a = 5.1604 Å, b = 5.1604 Å, c = 5.1998 Å
α = 90.00°, β = 90.00°, γ = 90.00°
Last column: nearest neighbours and their distance in Å.
Positions (direct):
Ir1 0.0000 0.5000 0.0000  8 Nb 2.89-2.90, 4 Ta 2.89
Ir2 0.5000 0.0000 0.5000  8 Nb 2.89-2.90, 4 Ta 2.89
Nb1 0.5000 0.2493 0.0000  2 Nb 2.57-2.59
Nb2 0.5000 0.7507 0.0000  2 Nb 2.57-2.59
Nb3 0.2493 0.5000 0.5000  2 Nb 2.57-2.59
Nb4 0.7507 0.5000 0.5000  2 Nb 2.57-2.59
Ta1 0.0000 0.0000 0.2500  2 Ta 2.60, 4 Ir 2.89
Ta2 0.0000 0.0000 0.7500  2 Ta 2.60, 4 Ir 2.89

Summary:
- energy of formation (eV/atom) = -0.435
- final energy (eV/atom) = -10.6586
- energy above the lowest structure with this stoichiometry (meV/atom) = 0.3

***

[11]
DFT (PBE-GGA) results for a relaxed structure of Nb2TcIr.

a = 4.5133 Å, b = 4.5133 Å, c = 4.5133 Å
α = 60.00°, β = 60.00°, γ = 60.00°
Last column: nearest neighbours and their distance in Å.
Positions (direct):
Ir1 0.7500 0.7500 0.7500  4 Tc 2.76, 4 Nb 2.76
Nb1 0.2500 0.2500 0.2500  4 Nb 2.76, 4 Tc 2.76
Nb2 0.5000 0.5000 0.5000  4 Ir 2.76, 4 Nb 2.76
Tc1 0.0000 0.0000 0.0000  4 Ir 2.76, 4 Nb 2.76

Summary:
- energy of formation (eV/atom) = -0.089
- final energy (eV/atom) = -9.9395

***

[12]
DFT (PBE-GGA) results for a relaxed structure of NbTl2Ir.

a = 4.8423 Å, b = 4.8423 Å, c = 4.8423 Å
α = 60.00°, β = 60.00°, γ = 60.00°
Last column: nearest neighbours and their distance in Å.
Positions (direct):
Ir1 0.7500 0.7500 0.7500  4 Tl 2.97, 4 Nb 2.97
Nb1 0.0000 0.0000 0.0000  4 Ir 2.97, 4 Tl 2.97
Tl1 0.2500 0.2500 0.2500  4 Tl 2.97, 4 Nb 2.97
Tl2 0.5000 0.5000 0.5000  4 Tl 2.97, 4 Ir 2.97

Summary:
- final energy (eV/atom) = -5.3652

***

[13]
DFT (PBE-GGA) results for a relaxed structure of NbTlIr2.

a = 4.6022 Å, b = 4.6022 Å, c = 4.6022 Å
α = 60.00°, β = 60.00°, γ = 60.00°
Last column: nearest neighbours and their distance in Å.
Positions (direct):
Ir1 0.0000 0.0000 0.0000  4 Nb 2.82, 4 Ir 2.82
Ir2 0.7500 0.7500 0.7500  4 Tl 2.82, 4 Ir 2.82
Nb1 0.2500 0.2500 0.2500  4 Tl 2.82, 4 Ir 2.82
Tl1 0.5000 0.5000 0.5000  4 Nb 2.82, 4 Ir 2.82

Summary:
- final energy (eV/atom) = -7.1837